Entry 1:
Crystalline Rb2I2Br7 at its relaxed geometry, computed with GGA-PBE.

Calculated values
Magnetic moment, μB/cell: 0.00
E, eV/atom: -2.122
Space-group type: C2/m (12)

Cell and atoms, written as POSCAR:
```
Rb2I2Br7
1.0
-1.5713 -4.2534 -3.4353
-2.3942 -4.2091 7.6913
-8.3435 3.4975 0.8707
Rb I Br
2 2 7
Cartesian
-6.9943 1.7499 2.4174
-3.7434 -2.4614 6.1446
-3.3272 -2.5305 0.0429
-8.9819 -2.4344 5.0838
-8.3373 -5.4681 4.8168
-1.8335 -2.2666 2.7613
-3.9717 0.5032 0.3099
-10.4756 -2.6983 2.3654
-0.7857 -2.1267 -1.7177
-6.4968 -1.1956 4.3159
-5.8122 -3.7693 0.8107
```

Entry 2:
Crystalline Sr2InIrI at its relaxed geometry, computed with GGA-PBE.

Calculated values
Magnetic moment, μB/cell: 0.00
E, eV/atom: -3.890
Space-group type: P4/mmm (123)

Cell and atoms, written as POSCAR:
```
Sr2InIrI
1.0
-0.3779 1.9326 5.5673
-0.2193 -5.5795 1.9219
5.1277 -0.0730 0.3734
I Sr Ir In
1 2 1 1
Cartesian
2.2652 -1.8599 3.9313
-0.1097 -2.7897 0.9610
-0.1890 0.9663 2.7837
0.0000 0.0000 0.0000
2.5639 -0.0365 0.1867
```

Entry 3:
Crystalline CoAgSe at its relaxed geometry, computed with GGA-PBE.

Calculated values
Magnetic moment, μB/cell: 2.81
E, eV/atom: -4.431
Space-group type: P4/nmm (129)
Energy above the most stable polymorph in this dataset, meV/atom: 38

Cell and atoms, written as POSCAR:
```
CoAgSe
1.0
4.0406 0.0000 0.0000
0.0000 4.0406 0.0000
0.0000 0.0000 6.1493
Co Se Ag
2 2 2
Cartesian
0.0000 0.0000 3.0747
2.0203 2.0203 3.0747
0.0000 2.0203 1.7316
2.0203 0.0000 4.4177
0.0000 2.0203 5.1530
2.0203 0.0000 0.9964
```

Entry 4:
Crystalline Dy8Ga2Co at its relaxed geometry, computed with GGA-PBE.

Calculated values
Magnetic moment, μB/cell: 0.00
E, eV/atom: -4.782
Space-group type: C2/m (12)

Cell and atoms, written as POSCAR:
```
Dy8Ga2Co
1.0
-1.4226 -3.7273 2.8762
6.2859 -1.7142 0.8875
-0.5337 7.6144 5.3985
Dy Ga Co
8 2 1
Cartesian
2.4067 3.7796 6.0883
5.0635 -1.8347 4.3318
2.8788 0.3014 6.0193
-0.5236 3.2642 8.1760
1.4508 1.8715 3.1429
-0.7339 4.0076 4.8304
1.9229 -1.6067 3.0739
4.8532 -1.0912 0.9862
0.0516 1.2949 5.9085
4.2780 0.8780 3.2537
-0.7113 -1.8636 1.4381
```

Entry 5:
Crystalline TlRePCl2 at its relaxed geometry, computed with GGA-PBE.

Calculated values
Magnetic moment, μB/cell: 4.56
E, eV/atom: -3.461
Space-group type: P4/mmm (123)
Energy above the most stable polymorph in this dataset, meV/atom: 1284

Cell and atoms, written as POSCAR:
```
TlRePCl2
1.0
-0.2313 -5.1018 -1.1184
-0.7957 -1.0720 5.0547
-5.3226 0.4060 -0.7517
Re Tl P Cl
1 1 1 2
Cartesian
-3.1747 -2.8839 1.5923
0.0000 0.0000 0.0000
-2.6613 0.2030 -0.3759
-0.3978 -0.5360 2.5274
-0.1156 -2.5509 -0.5592
```

Entry 6:
Crystalline CsSrBr3 at its relaxed geometry, computed with GGA-PBE.

Calculated values
Magnetic moment, μB/cell: 0.00
E, eV/atom: -3.437
Space-group type: P6_3/mmc (194)

Cell and atoms, written as POSCAR:
```
CsSrBr3
1.0
4.6777 -2.7006 0.0000
0.0000 5.4013 0.0000
0.0000 0.0000 19.3327
Cs Sr Br
2 2 6
Cartesian
0.0000 0.0000 0.0000
0.0000 0.0000 9.6664
1.5592 2.7006 14.4996
3.1184 0.0000 4.8332
0.0000 0.0000 4.8332
0.0000 0.0000 14.4996
1.5592 2.7006 17.4351
1.5592 2.7006 11.5640
3.1184 0.0000 7.7687
3.1184 0.0000 1.8976
```